# 1
Below is crystalline CuS2NF at its relaxed geometry, with properties calculated at the PBE level.

Geometry as extended XYZ:
```
5
Lattice="4.657 0.000 0.000 0.000 4.657 0.000 0.000 0.000 3.596" Properties=species:S:1:pos:R:3 pbc="T T T"
Cu 0.000 0.000 0.000
S 0.000 2.328 0.000
S 2.328 0.000 0.000
N 0.000 0.000 1.798
F 2.328 2.328 1.798
```

Properties
Fermi-level density of states: 1.0816 states/eV per atom
distance to the lowest polymorph of the same formula: 387 meV/atom
calculated volume: 78.0 Å³ per cell
formation energy from raw total energies: 1.162 eV per atom



# 2
Below is crystalline CuS2NF at its relaxed geometry, with properties calculated at the PBE level.

Geometry as extended XYZ:
```
5
Lattice="4.038 0.000 0.000 0.000 4.038 0.000 0.000 0.000 4.025" Properties=species:S:1:pos:R:3 pbc="T T T"
Cu 0.000 0.000 0.000
S 0.000 2.019 2.013
S 2.019 0.000 2.013
N 0.000 0.000 2.013
F 2.019 2.019 0.000
```

Properties
Fermi-level density of states: 0.6922 states/eV per atom
distance to the lowest polymorph of the same formula: 0 meV/atom
calculated volume: 65.6 Å³ per cell
formation energy from raw total energies: 0.775 eV per atom



# 3
Below is crystalline CuSNF2 at its relaxed geometry, with properties calculated at the PBE level.

Geometry as extended XYZ:
```
5
Lattice="4.430 0.000 0.000 0.000 4.430 0.000 0.000 0.000 3.300" Properties=species:S:1:pos:R:3 pbc="T T T"
Cu 0.000 0.000 0.000
S 2.215 2.215 1.650
N 2.215 2.215 0.000
F 0.000 2.215 1.650
F 2.215 0.000 1.650
```

Properties
Fermi-level density of states: 1.4942 states/eV per atom
distance to the lowest polymorph of the same formula: 0 meV/atom
calculated volume: 64.8 Å³ per cell
formation energy from raw total energies: 0.199 eV per atom



# 4
Below is crystalline CuS2NF at its relaxed geometry, with properties calculated at the PBE level.

Geometry as extended XYZ:
```
5
Lattice="4.377 0.000 0.000 0.000 4.377 0.000 0.000 0.000 3.757" Properties=species:S:1:pos:R:3 pbc="T T T"
Cu 0.000 0.000 0.000
S 0.000 2.189 1.878
S 2.189 0.000 1.878
N 2.189 2.189 0.000
F 2.189 2.189 1.878
```

Properties
Fermi-level density of states: 1.1410 states/eV per atom
distance to the lowest polymorph of the same formula: 938 meV/atom
calculated volume: 72.0 Å³ per cell
formation energy from raw total energies: 1.713 eV per atom



# 5
Below is crystalline CuSb2NF at its relaxed geometry, with properties calculated at the PBE level.

Geometry as extended XYZ:
```
5
Lattice="4.922 0.000 0.000 0.000 4.922 0.000 0.000 0.000 3.638" Properties=species:S:1:pos:R:3 pbc="T T T"
Cu 0.000 0.000 0.000
Sb 0.000 2.461 1.819
Sb 2.461 0.000 1.819
N 0.000 0.000 1.819
F 2.461 2.461 0.000
```

Properties
Fermi-level density of states: 0.4561 states/eV per atom
calculated volume: 88.1 Å³ per cell
formation energy from raw total energies: 0.120 eV per atom



# 6
Below is crystalline CuSbN2F at its relaxed geometry, with properties calculated at the PBE level.

Geometry as extended XYZ:
```
5
Lattice="3.899 0.000 0.000 0.000 3.899 0.000 0.000 0.000 3.852" Properties=species:S:1:pos:R:3 pbc="T T T"
Cu 0.000 0.000 0.000
Sb 1.950 1.950 1.926
N 0.000 1.950 0.000
N 1.950 0.000 0.000
F 0.000 0.000 1.926
```

Properties
Fermi-level density of states: 0.6782 states/eV per atom
distance to the lowest polymorph of the same formula: 0 meV/atom
calculated volume: 58.6 Å³ per cell
formation energy from raw total energies: 0.659 eV per atom



# 7
Below is crystalline CuSbN2F at its relaxed geometry, with properties calculated at the PBE level.

Geometry as extended XYZ:
```
5
Lattice="4.013 0.000 0.000 0.000 4.013 0.000 0.000 0.000 4.113" Properties=species:S:1:pos:R:3 pbc="T T T"
Cu 0.000 0.000 0.000
Sb 2.006 2.006 2.056
N 0.000 2.006 2.056
N 2.006 0.000 2.056
F 2.006 2.006 0.000
```

Properties
Fermi-level density of states: 0.6696 states/eV per atom
distance to the lowest polymorph of the same formula: 40 meV/atom
calculated volume: 66.2 Å³ per cell
formation energy from raw total energies: 0.699 eV per atom



# 8
Below is crystalline ScCuN2F at its relaxed geometry, with properties calculated at the PBE level.

Geometry as extended XYZ:
```
5
Lattice="4.172 0.000 0.000 0.000 4.172 0.000 0.000 0.000 3.974" Properties=species:S:1:pos:R:3 pbc="T T T"
Sc 0.000 0.000 0.000
Cu 2.086 2.086 1.987
N 0.000 2.086 0.000
N 2.086 0.000 0.000
F 0.000 0.000 1.987
```

Properties
Fermi-level density of states: 0.8706 states/eV per atom
distance to the lowest polymorph of the same formula: 243 meV/atom
calculated volume: 69.2 Å³ per cell
formation energy from raw total energies: 0.061 eV per atom



# 9
Below is crystalline ScCuN2F at its relaxed geometry, with properties calculated at the PBE level.

Geometry as extended XYZ:
```
5
Lattice="3.753 0.000 0.000 0.000 3.753 0.000 0.000 0.000 3.829" Properties=species:S:1:pos:R:3 pbc="T T T"
Sc 0.000 0.000 0.000
Cu 1.876 1.876 1.914
N 0.000 1.876 1.914
N 1.876 0.000 1.914
F 1.876 1.876 0.000
```

Properties
Fermi-level density of states: 0.6327 states/eV per atom
distance to the lowest polymorph of the same formula: 0 meV/atom
calculated volume: 53.9 Å³ per cell
formation energy from raw total energies: -0.182 eV per atom



# 10
Below is crystalline CuSeN2F at its relaxed geometry, with properties calculated at the PBE level.

Geometry as extended XYZ:
```
5
Lattice="3.823 0.000 0.000 0.000 3.823 0.000 0.000 0.000 4.182" Properties=species:S:1:pos:R:3 pbc="T T T"
Cu 0.000 0.000 0.000
Se 1.911 1.911 2.091
N 0.000 1.911 2.091
N 1.911 0.000 2.091
F 1.911 1.911 0.000
```

Properties
Fermi-level density of states: 0.8266 states/eV per atom
distance to the lowest polymorph of the same formula: 44 meV/atom
calculated volume: 61.1 Å³ per cell
formation energy from raw total energies: 1.194 eV per atom



# 11
Below is crystalline CuSeN2F at its relaxed geometry, with properties calculated at the PBE level.

Geometry as extended XYZ:
```
5
Lattice="3.894 0.000 0.000 0.000 3.894 0.000 0.000 0.000 3.724" Properties=species:S:1:pos:R:3 pbc="T T T"
Cu 0.000 0.000 0.000
Se 1.947 1.947 1.862
N 0.000 1.947 0.000
N 1.947 0.000 0.000
F 0.000 0.000 1.862
```

Properties
Fermi-level density of states: 0.6575 states/eV per atom
distance to the lowest polymorph of the same formula: 0 meV/atom
calculated volume: 56.5 Å³ per cell
formation energy from raw total energies: 1.150 eV per atom



# 12
Below is crystalline CuSeN2F at its relaxed geometry, with properties calculated at the PBE level.

Geometry as extended XYZ:
```
5
Lattice="3.715 0.000 0.000 0.000 3.715 0.000 0.000 0.000 5.417" Properties=species:S:1:pos:R:3 pbc="T T T"
Cu 0.000 0.000 0.000
Se 1.857 1.857 0.000
N 0.000 1.857 2.709
N 1.857 0.000 2.709
F 1.857 1.857 2.709
```

Properties
Fermi-level density of states: 0.5430 states/eV per atom
distance to the lowest polymorph of the same formula: 1008 meV/atom
calculated volume: 74.8 Å³ per cell
formation energy from raw total energies: 2.158 eV per atom